Entry from the Alexandria database: a relaxed structure of BeSbTe (PBE).

Fermi-level density of states, states/eV per cell: 4.02
ΔE_f (raw), kcal/mol of atoms: 7.57
Distance to the lowest polymorph of the same formula, eV/atom: 0.3986
DFT total energy, eV/cell: -40.0
Total magnetization, μB per cell: 0.0

Structure (CIF):
```
data_BeSbTe
_cell_length_a 3.831
_cell_length_b 6.280
_cell_length_c 12.203
_cell_angle_alpha 90.00
_cell_angle_beta 90.00
_cell_angle_gamma 90.00
_symmetry_space_group_name_H-M 'F m m 2'
_symmetry_Int_Tables_number 42
_symmetry_space_group_name_Hall 'F 2 -2'
loop_
_atom_site_label
_atom_site_type_symbol
_atom_site_fract_x
_atom_site_fract_y
_atom_site_fract_z
Be1 Be 0.000 0.000 0.000
Sb1 Sb 0.000 0.000 0.363
Te1 Te 0.000 0.000 0.623
```